A plane-wave DFT calculation with PBE was carried out for a relaxed LiAgPt2 crystal.

Lattice parameters (Å, degrees): 9.188 9.188 9.188 17.49 17.49 17.49
Fractional coordinates of all 4 atoms:
Li  0.000  0.000  0.000
Ag  0.500  0.500  0.500
Pt  0.256  0.256  0.256
Pt  0.744  0.744  0.744

ΔE to the lowest computed polymorph: 0.0 meV/atom
Calculated total energy: -18.23 eV per formula unit
Crystal system: trigonal
Density of states at the Fermi level: 2.978 states/eV/f.u.